# 1
An optimized crystal structure of Pm5DyGe6. Source: Alexandria via LeMat-Bulk, functional PBE.

Geometry as POSCAR:
```
Pm5DyGe6
1.0
7.3372 0.1919 0.0000
2.2479 7.0302 0.0000
1.1239 3.5151 6.3372
Pm Dy Ge
5 1 6
Direct
0.5000 0.1682 0.6636
0.0000 0.3335 0.3330
0.5000 0.5000 0.0000
0.0000 0.6665 0.6670
0.5000 0.8318 0.3364
0.0000 0.0000 0.0000
0.7531 0.0822 0.3292
0.2469 0.5886 0.3292
0.2488 0.2461 0.0000
0.7512 0.7539 0.0000
0.7531 0.4114 0.6708
0.2469 0.9178 0.6708
```

Values from the calculation:
V: 324.2 Å³/f.u.
Total magnetization: 0.00 Bohr magnetons per cell
Electronic total energy: -5.33 eV/atom
DOS at the Fermi energy: 11.39 states/eV/f.u.

***

# 2
An optimized crystal structure of Pm3DyGe3. Source: Alexandria via LeMat-Bulk, functional PBE.

Geometry as POSCAR:
```
Pm3DyGe3
1.0
-6.3296 -0.4009 -6.1547
-5.6414 -6.8022 -0.1003
-7.7079 0.6287 1.5409
Pm Dy Ge
6 2 6
Direct
0.3691 0.8074 0.7190
0.8074 0.1045 0.7190
0.1045 0.3691 0.7190
0.8955 0.6309 0.2810
0.1926 0.8955 0.2810
0.6309 0.1926 0.2810
0.3302 0.3302 0.0094
0.6698 0.6698 0.9906
0.2951 0.5512 0.2202
0.9335 0.2951 0.2202
0.5512 0.9335 0.2202
0.4488 0.0665 0.7798
0.0665 0.7049 0.7798
0.7049 0.4488 0.7798
```

Values from the calculation:
V: 203.3 Å³/f.u.
Total magnetization: 0.00 Bohr magnetons per cell
Electronic total energy: -5.36 eV/atom
DOS at the Fermi energy: 2.49 states/eV/f.u.

***

# 3
An optimized crystal structure of PmDy2Ge3. Source: Alexandria via LeMat-Bulk, functional PBE.

Geometry as POSCAR:
```
PmDy2Ge3
1.0
4.2044 0.0000 0.0000
0.0000 5.9142 0.0000
-2.1022 -2.9571 6.2457
Pm Dy Ge
1 2 3
Direct
0.0000 0.5000 0.0000
0.6650 0.1650 0.3300
0.3350 0.8350 0.6700
0.3288 0.3288 0.6575
0.0000 0.0000 0.0000
0.6712 0.6712 0.3425
```

Values from the calculation:
V: 155.3 Å³/f.u.
Total magnetization: 0.00 Bohr magnetons per cell
Electronic total energy: -5.29 eV/atom
DOS at the Fermi energy: 4.60 states/eV/f.u.

***

# 4
An optimized crystal structure of PmDy2Ge. Source: Alexandria via LeMat-Bulk, functional PBE.

Geometry as POSCAR:
```
PmDy2Ge
1.0
-0.2583 -3.4969 1.3960
2.5656 -1.2378 2.4757
-4.7056 1.7565 8.6313
Pm Dy Ge
1 2 1
Direct
0.5008 0.5008 0.4976
0.0644 0.0644 0.8069
0.2686 0.2686 0.1942
0.6662 0.6662 0.0013
```

Values from the calculation:
V: 120.2 Å³/f.u.
Total magnetization: 0.33 Bohr magnetons per cell
Electronic total energy: -4.89 eV/atom
DOS at the Fermi energy: 5.63 states/eV/f.u.
Distance to the lowest polymorph of the same formula: 0.199 eV/atom

***

# 5
An optimized crystal structure of PmDy3Ge2. Source: Alexandria via LeMat-Bulk, functional PBE.

Geometry as POSCAR:
```
PmDy3Ge2
1.0
-3.8547 -0.4604 1.9245
5.9845 -5.8026 5.7211
-0.7930 9.2488 0.6242
Pm Dy Ge
2 6 4
Direct
0.8855 0.7709 0.9039
0.1145 0.2291 0.0961
0.3084 0.6168 0.5005
0.9509 0.9018 0.5968
0.6512 0.3024 0.8218
0.3488 0.6976 0.1782
0.0491 0.0982 0.4032
0.6916 0.3832 0.4995
0.4892 0.9785 0.8455
0.5108 0.0215 0.1545
0.7613 0.5225 0.2352
0.2387 0.4775 0.7648
```

Values from the calculation:
V: 159.7 Å³/f.u.
Total magnetization: 0.00 Bohr magnetons per cell
Electronic total energy: -5.21 eV/atom
DOS at the Fermi energy: 5.50 states/eV/f.u.

***

# 6
An optimized crystal structure of Pm5Dy2Ge4. Source: Alexandria via LeMat-Bulk, functional PBE.

Geometry as POSCAR:
```
Pm5Dy2Ge4
1.0
-1.2203 0.0740 3.6266
4.3536 -6.8383 1.6044
8.3881 6.8287 0.6638
Pm Dy Ge
5 2 4
Direct
0.1618 0.9721 0.3237
0.8382 0.0279 0.6763
0.1004 0.4304 0.2008
0.5000 0.0000 0.0000
0.8996 0.5696 0.7992
0.7345 0.6652 0.4690
0.2655 0.3348 0.5310
0.6045 0.7167 0.2090
0.0276 0.7345 0.0552
0.3955 0.2833 0.7910
0.9724 0.2655 0.9448
```

Values from the calculation:
V: 335.5 Å³/f.u.
Total magnetization: 0.00 Bohr magnetons per cell
Electronic total energy: -4.96 eV/atom
DOS at the Fermi energy: 11.76 states/eV/f.u.

***

# 7
An optimized crystal structure of Pm4DyGe2. Source: Alexandria via LeMat-Bulk, functional PBE.

Geometry as POSCAR:
```
Pm4DyGe2
1.0
4.9859 0.0000 0.0000
2.4930 4.3180 0.0000
2.4930 1.4393 10.0135
Pm Dy Ge
4 1 2
Direct
0.7024 0.7024 0.8929
0.8939 0.8939 0.3184
0.2976 0.2976 0.1071
0.1061 0.1061 0.6816
0.5000 0.5000 0.5000
0.5993 0.5993 0.2020
0.4007 0.4007 0.7980
```

Values from the calculation:
V: 215.6 Å³/f.u.
Total magnetization: 0.00 Bohr magnetons per cell
Electronic total energy: -5.04 eV/atom
DOS at the Fermi energy: 9.15 states/eV/f.u.

***

# 8
An optimized crystal structure of Pm3Dy2Ge4. Source: Alexandria via LeMat-Bulk, functional PBE.

Geometry as POSCAR:
```
Pm3Dy2Ge4
1.0
-1.6962 0.0189 4.1072
-1.8761 -4.9432 -3.1560
8.2706 -3.5060 3.4318
Pm Dy Ge
3 2 4
Direct
0.3804 0.7609 0.6009
0.0000 0.0000 0.0000
0.6196 0.2391 0.3991
0.3182 0.6363 0.1869
0.6818 0.3637 0.8131
0.6561 0.3122 0.1097
0.0903 0.1807 0.6150
0.9097 0.8193 0.3850
0.3439 0.6878 0.8903
```

Values from the calculation:
V: 242.1 Å³/f.u.
Total magnetization: 0.17 Bohr magnetons per cell
Electronic total energy: -5.37 eV/atom
DOS at the Fermi energy: 6.72 states/eV/f.u.
Distance to the lowest polymorph of the same formula: 0.140 eV/atom

***

# 9
An optimized crystal structure of PmDy5Ge4. Source: Alexandria via LeMat-Bulk, functional PBE.

Geometry as POSCAR:
```
PmDy5Ge4
1.0
-3.5479 -2.7738 -2.1604
4.2647 -5.4596 0.0061
-5.1294 4.8797 7.9327
Pm Dy Ge
1 5 4
Direct
0.5000 0.0000 0.0000
0.8355 0.6767 0.6711
0.8348 0.1591 0.6695
0.1652 0.8409 0.3305
0.5000 0.5000 0.0000
0.1645 0.3233 0.3289
0.3195 0.8905 0.6389
0.9893 0.7224 0.9787
0.6805 0.1095 0.3611
0.0107 0.2776 0.0213
```

Values from the calculation:
V: 263.2 Å³/f.u.
Total magnetization: 0.00 Bohr magnetons per cell
Electronic total energy: -5.26 eV/atom
DOS at the Fermi energy: 5.05 states/eV/f.u.

***

# 10
An optimized crystal structure of Pm2Dy2Ge. Source: Alexandria via LeMat-Bulk, functional PBE.

Geometry as POSCAR:
```
Pm2Dy2Ge
1.0
-1.4025 1.8845 -3.4914
-0.7344 -3.7624 -1.7358
-7.1794 1.0040 5.9620
Pm Dy Ge
2 2 1
Direct
0.4167 0.4167 0.8334
0.5833 0.5833 0.1666
0.7500 0.2500 0.5000
0.2500 0.7500 0.5000
0.0000 0.0000 0.0000
```

Values from the calculation:
V: 157.6 Å³/f.u.
Total magnetization: 0.00 Bohr magnetons per cell
Electronic total energy: -4.44 eV/atom
DOS at the Fermi energy: 4.84 states/eV/f.u.

***

# 11
An optimized crystal structure of Pm2DyGe. Source: Alexandria via LeMat-Bulk, functional PBE.

Geometry as POSCAR:
```
Pm2DyGe
1.0
3.6712 0.0000 0.0000
1.8356 3.1794 0.0000
1.8356 1.0598 11.0156
Ge Pm Dy
1 2 1
Direct
0.5000 0.5000 0.5000
0.1047 0.1047 0.6859
0.8953 0.8953 0.3141
0.0000 0.0000 0.0000
```

Values from the calculation:
V: 128.6 Å³/f.u.
Total magnetization: 0.79 Bohr magnetons per cell
Electronic total energy: -4.69 eV/atom
DOS at the Fermi energy: 5.83 states/eV/f.u.
Distance to the lowest polymorph of the same formula: 0.413 eV/atom

***

# 12
An optimized crystal structure of Pm3DyGe2. Source: Alexandria via LeMat-Bulk, functional PBE.

Geometry as POSCAR:
```
Pm3DyGe2
1.0
-0.2906 -4.2560 1.0996
8.8752 2.6067 3.6103
-8.2791 1.6801 4.3145
Pm Dy Ge
6 2 4
Direct
0.3106 0.6212 0.5070
0.9546 0.9093 0.6048
0.6551 0.3101 0.8338
0.3449 0.6899 0.1662
0.0454 0.0907 0.3952
0.6894 0.3788 0.4930
0.8859 0.7718 0.8973
0.1141 0.2282 0.1027
0.4962 0.9924 0.8574
0.5038 0.0076 0.1426
0.7564 0.5128 0.2362
0.2436 0.4872 0.7638
```

Values from the calculation:
V: 164.4 Å³/f.u.
Total magnetization: 0.00 Bohr magnetons per cell
Electronic total energy: -5.25 eV/atom
DOS at the Fermi energy: 6.22 states/eV/f.u.

***

# 13
An optimized crystal structure of PmDyGe. Source: Alexandria via LeMat-Bulk, functional PBE.

Geometry as POSCAR:
```
PmDyGe
1.0
-4.1944 3.7064 0.1435
-3.5071 -3.9105 -1.5058
1.2863 -2.9547 4.6772
Dy Pm Ge
2 2 2
Direct
0.3917 0.5137 0.7834
0.6083 0.0137 0.2166
0.0920 0.5137 0.1840
0.9080 0.0137 0.8160
0.2479 0.0135 0.4959
0.7521 0.5135 0.5041
```

Values from the calculation:
V: 75.6 Å³/f.u.
Total magnetization: 0.00 Bohr magnetons per cell
Electronic total energy: -5.08 eV/atom
DOS at the Fermi energy: 2.83 states/eV/f.u.
Distance to the lowest polymorph of the same formula: 0.177 eV/atom

***

# 14
An optimized crystal structure of PmDy2Ge. Source: Alexandria via LeMat-Bulk, functional PBE.

Geometry as POSCAR:
```
PmDy2Ge
1.0
4.1432 -0.0002 0.0000
-2.0723 6.0370 0.0000
0.0000 0.0000 9.1826
Pm Dy Ge
2 4 2
Direct
0.9342 0.8683 0.2500
0.0658 0.1317 0.7500
0.3557 0.7116 0.5566
0.6443 0.2884 0.4434
0.3557 0.7116 0.9434
0.6443 0.2884 0.0566
0.7518 0.5042 0.7500
0.2482 0.4958 0.2500
```

Values from the calculation:
V: 114.8 Å³/f.u.
Total magnetization: 1.10 Bohr magnetons per cell
Electronic total energy: -5.09 eV/atom
DOS at the Fermi energy: 4.88 states/eV/f.u.
Distance to the lowest polymorph of the same formula: 0.000 eV/atom

***

# 15
An optimized crystal structure of PmDyGe2Pt5. Source: Alexandria via LeMat-Bulk, functional PBE.

Geometry as POSCAR:
```
PmDyGe2Pt5
1.0
4.3016 0.0000 0.0000
0.0000 4.3016 0.0000
0.0000 0.0000 9.0411
Pm Dy Ge Pt
1 1 2 5
Direct
0.0000 0.0000 0.5000
0.0000 0.0000 0.0000
0.5000 0.5000 0.1344
0.5000 0.5000 0.8656
0.0000 0.5000 0.2691
0.5000 0.0000 0.2691
0.0000 0.5000 0.7309
0.5000 0.0000 0.7309
0.5000 0.5000 0.5000
```

Values from the calculation:
V: 167.3 Å³/f.u.
Total magnetization: 0.00 Bohr magnetons per cell
Electronic total energy: -6.32 eV/atom
DOS at the Fermi energy: 3.31 states/eV/f.u.

***

# 16
An optimized crystal structure of PmDyGe2Rh2. Source: Alexandria via LeMat-Bulk, functional PBE.

Geometry as POSCAR:
```
PmDyGe2Rh2
1.0
4.3920 0.0000 0.0000
-2.1960 3.8036 0.0000
0.0000 0.0000 7.1988
Pm Dy Ge Rh
1 1 2 2
Direct
0.0000 0.0000 0.0000
0.0000 0.0000 0.5000
0.3333 0.6667 0.2660
0.6667 0.3333 0.7340
0.3333 0.6667 0.7224
0.6667 0.3333 0.2776
```

Values from the calculation:
V: 120.3 Å³/f.u.
Total magnetization: 0.00 Bohr magnetons per cell
Electronic total energy: -6.44 eV/atom
DOS at the Fermi energy: 3.95 states/eV/f.u.

***

# 17
An optimized crystal structure of PmDyGe2Rh5. Source: Alexandria via LeMat-Bulk, functional PBE.

Geometry as POSCAR:
```
PmDyGe2Rh5
1.0
-1.7060 1.1088 -3.6811
-2.5516 -3.3389 0.1768
-6.1455 4.9257 4.3319
Pm Dy Ge Rh
1 1 2 5
Direct
0.0000 0.0000 0.5000
0.0000 0.0000 0.0000
0.5000 0.5000 0.1397
0.5000 0.5000 0.8603
0.0000 0.5000 0.2680
0.5000 0.0000 0.2680
0.0000 0.5000 0.7320
0.5000 0.0000 0.7320
0.5000 0.5000 0.5000
```

Values from the calculation:
V: 159.0 Å³/f.u.
Total magnetization: 0.00 Bohr magnetons per cell
Electronic total energy: -6.85 eV/atom
DOS at the Fermi energy: 6.25 states/eV/f.u.

***

# 18
An optimized crystal structure of Pm2DyGe3Rh4. Source: Alexandria via LeMat-Bulk, functional PBE.

Geometry as POSCAR:
```
Pm2DyGe3Rh4
1.0
4.1809 0.0000 0.0000
0.0000 4.1809 0.0000
0.0000 0.0000 11.1987
Pm Dy Ge Rh
2 1 3 4
Direct
0.5000 0.0000 0.2287
0.0000 0.5000 0.7713
0.5000 0.5000 0.5000
0.0000 0.0000 0.5000
0.5000 0.0000 0.8783
0.0000 0.5000 0.1217
0.5000 0.5000 0.0000
0.0000 0.0000 0.0000
0.5000 0.0000 0.6585
0.0000 0.5000 0.3415
```

Values from the calculation:
V: 195.8 Å³/f.u.
Total magnetization: 0.00 Bohr magnetons per cell
Electronic total energy: -6.62 eV/atom
DOS at the Fermi energy: 6.12 states/eV/f.u.

***

# 19
An optimized crystal structure of PmDyGeS. Source: Alexandria via LeMat-Bulk, functional PBE.

Geometry as POSCAR:
```
PmDyGeS
1.0
-3.3543 -1.0638 -2.1028
0.2474 -2.8227 -2.9624
-2.3237 -6.1335 2.8138
Pm Dy Ge S
1 1 1 1
Direct
0.6942 0.6942 0.9174
0.1936 0.1936 0.4191
0.9417 0.9417 0.1748
0.4468 0.4468 0.6595
```

Values from the calculation:
V: 98.0 Å³/f.u.
Total magnetization: 0.00 Bohr magnetons per cell
Electronic total energy: -5.98 eV/atom
DOS at the Fermi energy: 1.49 states/eV/f.u.

***

# 20
An optimized crystal structure of PmDySiGe. Source: Alexandria via LeMat-Bulk, functional PBE.

Geometry as POSCAR:
```
PmDySiGe
1.0
-3.8940 -1.0197 3.1277
-0.2750 -4.5217 2.3375
0.7852 -0.3228 5.0264
Ge Pm Si Dy
1 1 1 1
Direct
0.2500 0.2500 0.2500
0.0000 0.0000 0.0000
0.7500 0.7500 0.7500
0.5000 0.5000 0.5000
```

Values from the calculation:
V: 93.7 Å³/f.u.
Total magnetization: 0.00 Bohr magnetons per cell
Electronic total energy: -5.33 eV/atom
DOS at the Fermi energy: 4.01 states/eV/f.u.
Distance to the lowest polymorph of the same formula: 0.338 eV/atom

***

# 21
An optimized crystal structure of PmDySiGe. Source: Alexandria via LeMat-Bulk, functional PBE.

Geometry as POSCAR:
```
PmDySiGe
1.0
-3.3204 -0.3114 -2.8139
-2.4585 -0.7731 2.9866
0.6870 5.4314 1.9716
Pm Dy Si Ge
1 1 1 1
Direct
0.1405 0.0000 0.2810
0.8622 0.5000 0.7244
0.4195 0.0000 0.8390
0.5778 0.5000 0.1556
```

Values from the calculation:
V: 92.9 Å³/f.u.
Total magnetization: 0.00 Bohr magnetons per cell
Electronic total energy: -5.67 eV/atom
DOS at the Fermi energy: 2.79 states/eV/f.u.
Distance to the lowest polymorph of the same formula: 0.000 eV/atom

***

# 22
An optimized crystal structure of PmDyZnGe. Source: Alexandria via LeMat-Bulk, functional PBE.

Geometry as POSCAR:
```
PmDyZnGe
1.0
-0.5854 -2.4672 -3.4055
-2.0389 -2.7362 2.3328
-4.4770 3.8628 0.6179
Pm Dy Zn Ge
1 1 1 1
Direct
0.1440 0.0000 0.2879
0.8614 0.5000 0.7228
0.5711 0.5000 0.1422
0.4236 0.0000 0.8471
```

Values from the calculation:
V: 97.5 Å³/f.u.
Total magnetization: 0.36 Bohr magnetons per cell
Electronic total energy: -4.41 eV/atom
DOS at the Fermi energy: 4.20 states/eV/f.u.
Distance to the lowest polymorph of the same formula: 0.000 eV/atom

***

# 23
An optimized crystal structure of PmDyZnGe. Source: Alexandria via LeMat-Bulk, functional PBE.

Geometry as POSCAR:
```
PmDyZnGe
1.0
5.0871 0.0000 0.0000
2.5436 4.4056 0.0000
2.5436 1.4685 4.1536
Ge Pm Zn Dy
1 1 1 1
Direct
0.2500 0.2500 0.2500
0.0000 0.0000 0.0000
0.7500 0.7500 0.7500
0.5000 0.5000 0.5000
```

Values from the calculation:
V: 93.1 Å³/f.u.
Total magnetization: 0.00 Bohr magnetons per cell
Electronic total energy: -4.34 eV/atom
DOS at the Fermi energy: 2.59 states/eV/f.u.
Distance to the lowest polymorph of the same formula: 0.076 eV/atom

***

# 24
An optimized crystal structure of Pm2DyZn2Ge2. Source: Alexandria via LeMat-Bulk, functional PBE.

Geometry as POSCAR:
```
Pm2DyZn2Ge2
1.0
-0.1722 -3.4013 2.3983
0.8177 -3.7435 -1.6332
11.1726 -1.1150 2.8379
Pm Dy Zn Ge
2 1 2 2
Direct
0.1214 0.1214 0.6359
0.8786 0.8786 0.3641
0.0000 0.0000 0.0000
0.6046 0.6046 0.1862
0.3954 0.3954 0.8138
0.7244 0.7244 0.8269
0.2756 0.2756 0.1731
```

Values from the calculation:
V: 170.2 Å³/f.u.
Total magnetization: 0.85 Bohr magnetons per cell
Electronic total energy: -4.17 eV/atom
DOS at the Fermi energy: 5.57 states/eV/f.u.

***

# 25
An optimized crystal structure of PrDyGe4. Source: Alexandria via LeMat-Bulk, functional PBE.

Geometry as POSCAR:
```
PrDyGe4
1.0
-5.3060 1.1463 1.7376
-3.7507 -4.2360 0.6894
-1.6707 -1.5029 5.2381
Pr Ge Dy
1 4 1
Direct
0.0000 0.0000 0.0000
0.6233 0.6233 0.1302
0.6233 0.1302 0.6233
0.6233 0.6233 0.6233
0.1302 0.6233 0.6233
0.2500 0.2500 0.2500
```

Values from the calculation:
V: 130.9 Å³/f.u.
Total magnetization: 0.00 Bohr magnetons per cell
Electronic total energy: -4.98 eV/atom
DOS at the Fermi energy: 7.32 states/eV/f.u.
Distance to the lowest polymorph of the same formula: 0.219 eV/atom